No. 1
Density functional theory data (GGA-PBE) for an optimized crystal structure of HfMg2InH.

Structure (CIF):
```
data_HfMg2InH
_chemical_formula_sum 'Hf1 Mg2 In1 H1'
_space_group_name_H-M_alt 'P 4/m m m'
_space_group_IT_number 123
_space_group_name_Hall '-P 4 2'
_cell_length_a 4.414
_cell_length_b 4.414
_cell_length_c 4.365
_cell_angle_alpha 90.00
_cell_angle_beta 90.00
_cell_angle_gamma 90.00
loop_
_atom_site_label
_atom_site_type_symbol
_atom_site_fract_x
_atom_site_fract_y
_atom_site_fract_z
Hf1 Hf 0.000 0.000 0.000
Mg1 Mg 0.000 0.500 0.500
In1 In 0.500 0.500 0.000
H1 H 0.000 0.000 0.500
```

Its raw total energy is -3.944 eV per atom. The volume is 85.06 Å³/cell. The value obtained for the spin magnetization is 0.000 μB/f.u. Its mass density is 6694 kg/m³.

=====

No. 2
Density functional theory data (GGA-PBE) for an optimized crystal structure of Ba6SnAu3.

Structure (CIF):
```
data_Ba6SnAu3
_chemical_formula_sum 'Ba12 Sn2 Au6'
_space_group_name_H-M_alt 'P 1 21/m 1'
_space_group_IT_number 11
_cell_length_a 13.428
_cell_length_b 4.983
_cell_length_c 13.898
_cell_angle_alpha 90.00
_cell_angle_beta 109.67
_cell_angle_gamma 90.00
loop_
_space_group_symop_operation_xyz
'x,y,z'
'-x,-y,-z'
'-x,y+1/2,-z'
'x,-y+1/2,z'
loop_
_atom_site_label
_atom_site_type_symbol
_atom_site_fract_x
_atom_site_fract_y
_atom_site_fract_z
Ba1 Ba 0.027 0.250 0.389
Ba2 Ba 0.104 0.250 0.941
Ba3 Ba 0.236 0.750 0.275
Ba4 Ba 0.308 0.750 0.760
Ba5 Ba 0.386 0.250 0.542
Ba6 Ba 0.421 0.750 0.099
Sn1 Sn 0.445 0.250 0.297
Au1 Au 0.063 0.250 0.166
Au2 Au 0.184 0.750 0.505
Au3 Au 0.344 0.250 0.924
```

Its energy of formation is -0.5753 eV/atom. The volume is 875.65 Å³/cell. The value obtained for the spin magnetization is 0.000 μB/f.u. Its mass density is 5816 kg/m³.

=====

No. 3
Density functional theory data (GGA-PBE) for an optimized crystal structure of CaBP2Cl.

Structure (CIF):
```
data_CaBP2Cl
_chemical_formula_sum 'Ca1 B1 P2 Cl1'
_space_group_name_H-M_alt 'P 4/m m m'
_space_group_IT_number 123
_space_group_name_Hall '-P 4 2'
_cell_length_a 3.987
_cell_length_b 3.987
_cell_length_c 5.973
_cell_angle_alpha 90.00
_cell_angle_beta 90.00
_cell_angle_gamma 90.00
loop_
_atom_site_label
_atom_site_type_symbol
_atom_site_fract_x
_atom_site_fract_y
_atom_site_fract_z
Ca1 Ca 0.000 0.000 0.000
B1 B 0.500 0.500 0.500
P1 P 0.000 0.500 0.500
Cl1 Cl 0.500 0.500 0.000
```

The calculation puts the uncorrected formation energy at -0.93 eV per formula unit. The volume is 94.93 Å³/cell. The value obtained for the spin magnetization is 0.000 μB/f.u. Its mass density is 2594 kg/m³. The energy above the most stable polymorph in this dataset comes out at 0 meV/atom.